# Rb4NpBr6

A relaxed Rb4NpBr6 crystal (PBE-GGA, the Alexandria database).

```
data_Rb4NpBr6
_chemical_formula_sum 'Rb8 Np2 Br12'
_space_group_name_H-M_alt 'P 4/m n c'
_space_group_IT_number 128
_space_group_name_Hall '-P 4 2n'
_cell_length_a 9.6132
_cell_length_b 9.6132
_cell_length_c 10.0850
_cell_angle_alpha 90.00
_cell_angle_beta 90.00
_cell_angle_gamma 90.00
loop_
_atom_site_label
_atom_site_type_symbol
_atom_site_fract_x
_atom_site_fract_y
_atom_site_fract_z
_atom_site_occupancy
Rb1 Rb 0.1730 0.3270 0.2500 1
Np1 Np 0.0000 0.0000 0.0000 1
Br1 Br 0.0000 0.0000 0.2929 1
Br2 Br 0.0933 0.6995 0.0000 1
```

## Properties
final energy: -3.926 eV per atom
size of the total moment: 9.56 μB/cell
uncorrected formation energy: -1.4848 eV/atom